Record 1
# YNi4Ge3 | OQMD via LeMat-Bulk | PBE-GGA | optimized geometry
data_YNi4Ge3
_cell_length_a 5.1428
_cell_length_b 3.9572
_cell_length_c 5.9495
_cell_angle_alpha 90.00
_cell_angle_beta 98.72
_cell_angle_gamma 90.00
_symmetry_space_group_name_H-M 'P 1 m 1'
_symmetry_Int_Tables_number 6
_symmetry_space_group_name_Hall 'P -2y'
loop_
_atom_site_label
_atom_site_fract_x
_atom_site_fract_y
_atom_site_fract_z
_atom_site_occupancy
Y1 0.0000 0.0000 0.0000 1
Ni1 0.0914 0.5000 0.6563 1
Ni2 0.4126 0.0000 0.6528 1
Ni3 0.5120 0.0000 0.2013 1
Ni4 0.8105 0.5000 0.2726 1
Ge1 0.3141 0.5000 0.3391 1
Ge2 0.5181 0.5000 0.9013 1
Ge3 0.8516 0.0000 0.5172 1
# * crystal system: monoclinic

---

Record 2
# Zr2CoSi | OQMD via LeMat-Bulk | PBE-GGA | optimized geometry
data_Zr2CoSi
_cell_length_a 3.7520
_cell_length_b 6.8637
_cell_length_c 5.3888
_cell_angle_alpha 90.00
_cell_angle_beta 90.00
_cell_angle_gamma 90.00
_symmetry_space_group_name_H-M 'P m n 21'
_symmetry_Int_Tables_number 31
_symmetry_space_group_name_Hall 'P 2ac -2'
loop_
_atom_site_label
_atom_site_fract_x
_atom_site_fract_y
_atom_site_fract_z
_atom_site_occupancy
Zr1 0.0000 0.0603 0.0000 1
Zr2 0.0000 0.5930 0.2319 1
Co1 0.0000 0.2067 0.4911 1
Si1 0.0000 0.7021 0.7323 1
# * crystal system: orthorhombic

---

Record 3
# BaCdNiTe3 | OQMD via LeMat-Bulk | PBE-GGA | optimized geometry
data_BaCdNiTe3
_cell_length_a 4.4151
_cell_length_b 13.4789
_cell_length_c 11.9347
_cell_angle_alpha 90.00
_cell_angle_beta 90.00
_cell_angle_gamma 90.00
_symmetry_space_group_name_H-M 'C m c m'
_symmetry_Int_Tables_number 63
_symmetry_space_group_name_Hall '-C 2c 2'
loop_
_atom_site_label
_atom_site_fract_x
_atom_site_fract_y
_atom_site_fract_z
_atom_site_occupancy
Ba1 0.0000 0.2376 0.2500 1
Cd1 0.0000 0.5000 0.0000 1
Ni1 0.0000 0.0609 0.7500 1
Te1 0.0000 0.1471 0.5571 1
Te2 0.0000 0.4708 0.7500 1
# * ΔE to the lowest computed polymorph: 0.0000 eV per atom
# * crystal system: orthorhombic

---

Record 4
# Ta4GaAsC2 | OQMD via LeMat-Bulk | PBE-GGA | optimized geometry
data_Ta4GaAsC2
_cell_length_a 3.2407
_cell_length_b 3.2407
_cell_length_c 12.6874
_cell_angle_alpha 90.00
_cell_angle_beta 90.00
_cell_angle_gamma 120.00
_symmetry_space_group_name_H-M 'P -6 m 2'
_symmetry_Int_Tables_number 187
_symmetry_space_group_name_Hall 'P -6 2'
loop_
_atom_site_label
_atom_site_fract_x
_atom_site_fract_y
_atom_site_fract_z
_atom_site_occupancy
Ta1 0.0000 0.0000 0.1494 1
Ta2 0.6667 0.3333 0.3335 1
Ga1 0.0000 0.0000 0.5000 1
As1 0.6667 0.3333 0.0000 1
C1 0.3333 0.6667 0.2430 1
# * crystal system: hexagonal

---

Record 5
# GaReAs | OQMD via LeMat-Bulk | PBE-GGA | optimized geometry
data_GaReAs
_cell_length_a 6.0020
_cell_length_b 6.0020
_cell_length_c 6.0020
_cell_angle_alpha 90.00
_cell_angle_beta 90.00
_cell_angle_gamma 90.00
_symmetry_space_group_name_H-M 'F -4 3 m'
_symmetry_Int_Tables_number 216
_symmetry_space_group_name_Hall 'F -4 2 3'
loop_
_atom_site_label
_atom_site_fract_x
_atom_site_fract_y
_atom_site_fract_z
_atom_site_occupancy
Ga1 0.0000 0.0000 0.0000 1
Re1 0.2500 0.2500 0.7500 1
As1 0.0000 0.0000 0.5000 1
# * ΔE to the lowest computed polymorph: 0.0000 eV per atom
# * crystal system: cubic

---

Record 6
# Tb2GdIn3Pd2Au | OQMD via LeMat-Bulk | PBE-GGA | optimized geometry
data_Tb2GdIn3Pd2Au
_cell_length_a 3.8784
_cell_length_b 13.5033
_cell_length_c 7.7890
_cell_angle_alpha 90.00
_cell_angle_beta 90.00
_cell_angle_gamma 90.00
_symmetry_space_group_name_H-M 'A m m 2'
_symmetry_Int_Tables_number 38
_symmetry_space_group_name_Hall 'A 2 -2'
loop_
_atom_site_label
_atom_site_fract_x
_atom_site_fract_y
_atom_site_fract_z
_atom_site_occupancy
Tb1 0.0000 0.2031 0.0000 1
Gd1 0.0000 0.0000 0.6095 1
In1 0.5000 0.0000 0.9359 1
In2 0.5000 0.1341 0.3367 1
Pd1 0.5000 0.1672 0.7034 1
Au1 0.0000 0.0000 0.2027 1
# * crystal system: orthorhombic

---

Number 1: E_tot -5.728 eV per atom. Number 2: E_tot -8.042 eV per atom. Number 3: E_tot -3.591 eV per atom. Number 4: E_tot -9.727 eV per atom. Number 5: E_tot -6.255 eV per atom. Number 6: E_tot -4.752 eV per atom.